4
Lattice="0.0000 2.8009 2.8009 2.8009 0.0000 2.8009 2.8009 2.8009 0.0000" Properties=species:S:1:pos:R:3 comment="Li2AlC, relaxed, DFT PBE" delta_e_f_ev_per_fu=3.06 relative_energy_mev_per_atom=123 final_energy_ev_per_atom=-3.433 total_magnetization_mub_per_atom=0.0000 pbc="T T T"
Li 1.4005 1.4005 1.4005
Li 4.2014 4.2014 4.2014
Al 0.0000 0.0000 0.0000
C 2.8009 2.8009 2.8009

18
Lattice="4.3526 2.5130 6.4087 -4.3526 2.5130 6.4087 0.0000 -5.0260 6.4087" Properties=species:S:1:pos:R:3 comment="La2MgAl3Au12, relaxed, DFT PBE" delta_e_f_ev_per_fu=-4.48 final_energy_ev_per_atom=-3.694 total_magnetization_mub_per_atom=0.0000 pbc="T T T"
La 0.0000 0.0000 2.1201
La 0.0000 0.0000 17.1059
Mg 0.0000 0.0000 9.6130
Al -2.1763 -1.2565 6.4087
Al -2.1763 1.2565 12.8173
Al 0.0000 2.5130 6.4087
Au -2.2246 -1.2844 8.9284
Au 0.0000 -2.3557 5.7528
Au -2.0401 1.1779 5.7528
Au 0.0000 -2.5687 10.2976
Au -2.2246 1.2844 10.2976
Au -2.0401 -1.1779 13.4732
Au 2.0401 1.1779 5.7528
Au 2.2246 -1.2844 8.9284
Au 0.0000 2.5687 8.9284
Au 2.0401 -1.1779 13.4732
Au 0.0000 2.3557 13.4732
Au 2.2246 1.2844 10.2976

32
Lattice="10.8343 0.0000 0.0000 0.0000 7.1960 0.0000 0.0000 0.0000 6.6026" Properties=species:S:1:pos:R:3 comment="K2InF5, relaxed, DFT PBE" raw_formation_energy_ev_per_atom=-2.7164 final_energy_ev_per_atom=-4.503 total_magnetization_mub_per_atom=0.0135 pbc="T T T"
K 1.8357 0.0276 0.3046
K 1.8357 3.5705 0.3046
K 3.5815 3.6256 3.6060
K 3.5815 7.1685 3.6060
K 7.2529 0.0276 2.9967
K 7.2529 3.5705 2.9967
K 8.9986 3.6256 6.2980
K 8.9986 7.1685 6.2980
In 0.0166 1.7990 3.6993
In 5.4006 5.3970 0.3980
In 5.4337 1.7990 6.2047
In 10.8178 5.3970 2.9033
F 0.1809 1.7990 5.8346
F 0.7307 3.8907 4.3229
F 0.7307 6.9033 4.3229
F 1.8068 1.7990 2.5964
F 2.0247 5.3970 2.3201
F 3.3925 1.7990 5.6214
F 3.6104 5.3970 5.8977
F 4.6865 0.2927 1.0215
F 4.6865 3.3053 1.0215
F 5.2363 5.3970 2.5333
F 5.5980 1.7990 4.0694
F 6.1478 3.8907 5.5811
F 6.1478 6.9033 5.5811
F 7.2240 1.7990 0.7049
F 7.4418 5.3970 0.9813
F 8.8097 1.7990 4.2826
F 9.0275 5.3970 4.0062
F 10.1037 0.2927 2.2798
F 10.1037 3.3053 2.2798
F 10.6535 5.3970 0.7681

5
Lattice="6.1861 0.0000 0.0000 0.0000 6.1861 0.0000 0.0000 0.0000 6.0787" Properties=species:S:1:pos:R:3 comment="BaLaBi2I, relaxed, DFT PBE" raw_formation_energy_ev_per_atom=0.1317 final_energy_ev_per_atom=-3.101 total_magnetization_mub_per_atom=0.1594 pbc="T T T"
Ba 0.0000 0.0000 0.0000
La 3.0931 3.0931 0.0000
Bi 0.0000 3.0931 3.0393
Bi 3.0931 0.0000 3.0393
I 0.0000 0.0000 3.0393